Density functional theory data (PBE) for a relaxed structure of KSi2TePd.

Structure (POSCAR):
```
KSi2TePd
1.0
4.728 0.000 0.000
0.000 4.728 0.000
0.000 0.000 5.781
K Si Te Pd
1 2 1 1
direct
0.000 0.000 0.000 K
0.000 0.500 0.500 Si
0.500 0.000 0.500 Si
0.500 0.500 0.000 Te
0.000 0.000 0.500 Pd
```

ΔE_f (raw) in eV per formula unit: 0.651
Space-group type: P4/mmm, No. 123
N(E_F) in states/eV/cell: 2.734

***

Density functional theory data (PBE) for a relaxed structure of ZnFePtAu.

Structure (POSCAR):
```
ZnFePtAu
1.0
0.000 3.116 3.116
3.116 0.000 3.116
3.116 3.116 0.000
Zn Fe Pt Au
1 1 1 1
direct
0.000 0.000 0.000 Zn
0.500 0.500 0.500 Fe
0.250 0.250 0.250 Pt
0.750 0.750 0.750 Au
```

Energy of formation in eV per atom: -0.13
Space-group type: F-43m, No. 216
N(E_F) in states/eV/cell: 2.953

***

Density functional theory data (PBE) for a relaxed structure of TlBi2P.

Structure (POSCAR):
```
TlBi2P
1.0
-3.272 3.272 7.188
3.272 -3.272 7.188
3.272 3.272 -7.188
Tl Bi P
2 4 2
direct
0.000 0.000 0.000 Tl
0.750 0.250 0.500 Tl
0.172 0.625 0.047 Bi
0.375 0.422 0.547 Bi
0.578 0.125 0.953 Bi
0.875 0.828 0.453 Bi
0.250 0.750 0.500 P
0.500 0.500 0.000 P
```

Energy of formation in eV per atom: 0.35
Space-group type: I-42d, No. 122
N(E_F) in states/eV/cell: 6.855

***

Density functional theory data (PBE) for a relaxed structure of BaIn3As.

Structure (POSCAR):
```
BaIn3As
1.0
5.528 0.000 0.000
0.000 5.528 0.000
0.000 0.000 5.528
Ba In As
1 3 1
direct
0.000 0.000 0.000 Ba
0.000 0.500 0.500 In
0.500 0.000 0.500 In
0.500 0.500 0.000 In
0.500 0.500 0.500 As
```

Energy of formation in eV per atom: 0.00
Space-group type: Pm-3m, No. 221
N(E_F) in states/eV/cell: 3.700